Entry 1:
Below is a relaxed Ba2MgTaO crystal, with properties calculated at the PBE level.

**Formation energy from raw total energies**: 0.31 eV/atom

Cell: 6.6813 3.6226 6.6813 Å, 90.00 90.00 90.00°
With the nearest neighbours (Å) after each atom.
Positions (direct):
Mg  0.0000  0.0000  0.0000  2 O 1.81
Ba  0.0000  0.0000  0.5000  2 Mg 3.34, 2 Ba 3.62
Ba  0.5000  0.0000  0.0000  2 Mg 3.34, 2 Ba 3.62
O  0.0000  0.5000  0.0000  2 Mg 1.81
Ta  0.5000  0.5000  0.5000  2 Ta 3.62, 8 Ba 3.80

Entry 2:
Below is a relaxed Ba4MgTa10O30 crystal, with properties calculated at the PBE level.

**Formation energy from raw total energies**: -2.96 eV/atom

Cell: 7.8793 10.0466 10.0466 Å, 61.92 66.91 66.91°
With the nearest neighbours (Å) after each atom.
Positions (direct):
Ba  0.0510  0.4490  0.4490  7 O 2.73-2.93
Ba  0.5378  0.4622  0.4622  8 O 2.86-2.94
Ba  0.9478  0.0522  0.0522  3 O 2.71-2.84
Ba  0.4568  0.0432  0.0432  8 O 2.75-3.01
Mg  0.2729  0.7271  0.7271  6 O 2.16-2.23
Ta  0.6274  0.8111  0.4374  6 O 1.91-2.11
Ta  0.1242  0.8111  0.4374  6 O 1.91-2.11
Ta  0.6274  0.4374  0.8111  6 O 1.91-2.11
Ta  0.1242  0.4374  0.8111  6 O 1.91-2.11
Ta  0.9973  0.2536  0.2536  6 O 1.97-2.00
Ta  0.4956  0.2536  0.2536  6 O 1.97-2.00
Ta  0.8743  0.0595  0.6926  6 O 1.93-2.13
Ta  0.3736  0.0595  0.6926  6 O 1.93-2.13
Ta  0.3736  0.6926  0.0595  6 O 1.93-2.13
Ta  0.8743  0.6926  0.0595  6 O 1.93-2.13
O  0.5632  0.0298  0.2915  2 Ta 1.97-1.98
O  0.1156  0.0298  0.2915  2 Ta 1.97-1.98
O  0.5632  0.2915  0.0298  2 Ta 1.97-1.98
O  0.1156  0.2915  0.0298  2 Ta 1.97-1.98
O  0.8691  0.8330  0.4289  2 Ta 1.97
O  0.3762  0.7652  0.4823  2 Ta 2.04, 1 Mg 2.16
O  0.8691  0.4289  0.8330  2 Ta 1.97
O  0.3762  0.4823  0.7652  2 Ta 2.04, 1 Mg 2.16
O  0.4177  0.2189  0.4797  2 Ta 1.97-2.00
O  0.8837  0.2189  0.4797  2 Ta 1.97-2.00
O  0.4177  0.4797  0.2189  2 Ta 1.97-2.00
O  0.8837  0.4797  0.2189  2 Ta 1.97-2.00
O  0.1306  0.5882  0.5882  2 Ta 2.02
O  0.6929  0.5882  0.5882  2 Ta 2.02
O  0.8374  0.9245  0.9245  2 Ta 2.04
O  0.3136  0.9245  0.9245  2 Ta 2.04
O  0.0299  0.8904  0.6218  2 Ta 1.93-2.11
O  0.4579  0.8904  0.6218  2 Ta 1.93-2.11
O  0.4579  0.6218  0.8904  2 Ta 1.93-2.11
O  0.0299  0.6218  0.8904  2 Ta 1.93-2.11
O  0.6178  0.0496  0.7147  2 Ta 1.98
O  0.1010  0.0933  0.7047  2 Ta 2.00
O  0.6178  0.7147  0.0496  2 Ta 1.98
O  0.1010  0.7047  0.0933  2 Ta 2.00
O  0.7275  0.2595  0.7535  2 Ta 1.91-2.13
O  0.2595  0.2595  0.7535  2 Ta 1.91-2.13
O  0.7275  0.7535  0.2595  2 Ta 1.91-2.13
O  0.2595  0.7535  0.2595  2 Ta 1.91-2.13
O  0.2292  0.2708  0.2708  2 Ta 1.98
O  0.7625  0.2375  0.2375  2 Ta 1.99